[1]
## Mg5Cd2Ir2Pd (PBE-GGA)

Data for a geometry-optimized Mg5Cd2Ir2Pd structure.

Geometry as POSCAR:
```
Mg5Cd2Ir2Pd
1.0
9.739 0.000 0.000
0.000 9.739 0.000
0.000 0.000 3.975
Mg Cd Ir Pd
10 4 4 2
direct
0.000 0.500 0.000 Mg
0.077 0.199 0.000 Mg
0.199 0.923 0.000 Mg
0.301 0.423 0.000 Mg
0.423 0.699 0.000 Mg
0.500 0.000 0.000 Mg
0.577 0.301 0.000 Mg
0.699 0.577 0.000 Mg
0.801 0.077 0.000 Mg
0.923 0.801 0.000 Mg
0.172 0.672 0.500 Cd
0.328 0.172 0.500 Cd
0.672 0.828 0.500 Cd
0.828 0.328 0.500 Cd
0.124 0.376 0.500 Ir
0.376 0.876 0.500 Ir
0.624 0.124 0.500 Ir
0.876 0.624 0.500 Ir
0.000 0.000 0.500 Pd
0.500 0.500 0.500 Pd
```

## Properties
E_form = -23.7 kJ per mole of atoms
M_tot = 0.000 μB/atom

***

[2]
## PmMgCdIr (PBE-GGA)

Data for a geometry-optimized PmMgCdIr structure.

Geometry as POSCAR:
```
PmMgCdIr
1.0
0.000 3.491 3.491
3.491 0.000 3.491
3.491 3.491 0.000
Pm Mg Cd Ir
1 1 1 1
direct
0.000 0.000 0.000 Pm
0.500 0.500 0.500 Mg
0.750 0.750 0.750 Cd
0.250 0.250 0.250 Ir
```

## Properties
E_form = -28.9 kJ per mole of atoms
M_tot = 0.000 μB/atom

***

[3]
## PrMgCdIr (PBE-GGA)

Data for a geometry-optimized PrMgCdIr structure.

Geometry as POSCAR:
```
PrMgCdIr
1.0
0.000 3.527 3.527
3.527 0.000 3.527
3.527 3.527 0.000
Pr Mg Cd Ir
1 1 1 1
direct
0.000 0.000 0.000 Pr
0.500 0.500 0.500 Mg
0.250 0.250 0.250 Cd
0.750 0.750 0.750 Ir
```

## Properties
E_form = -24.4 kJ per mole of atoms
M_tot = 0.000 μB/atom

***

[4]
## PuMgCdIr (PBE-GGA)

Data for a geometry-optimized PuMgCdIr structure.

Geometry as POSCAR:
```
PuMgCdIr
1.0
0.000 3.461 3.461
3.461 0.000 3.461
3.461 3.461 0.000
Pu Mg Cd Ir
1 1 1 1
direct
0.000 0.000 0.000 Pu
0.500 0.500 0.500 Mg
0.250 0.250 0.250 Cd
0.750 0.750 0.750 Ir
```

## Properties
E_form = -11.6 kJ per mole of atoms
M_tot = 1.336 μB/atom

***

Look up the E_form of the second one.
-28.9 kJ per mole of atoms

***

Which value of M_tot does entry 3 give?
0.000 μB/atom

***

Look up the M_tot of the fourth one.
1.336 μB/atom

***

Among the records above, which one has the highest E_form?
PuMgCdIr